No. 1
Ca4PuAg5: optimized geometry, PBE.

Summary:
**VASP energy**: -38.81 eV/f.u.
**Magnetization**: 6.1 μB per formula unit
**Theoretical density**: 6.16 g/cm3
**Symmetry**: P4/mmm

Lattice parameters (Å, degrees): 3.699 3.699 18.579 90.00 90.00 90.00
Each line ends with the local moment (μB).
Atoms (fractional coordinates):
Ag1 0.500 0.500 0.500  0.00
Ag2 0.500 0.500 0.301  0.00
Ca1 0.000 0.000 0.599  0.00
Ca2 0.000 0.000 0.401  0.00
Ag3 0.500 0.500 0.101  0.03
Ag4 0.500 0.500 0.699  0.00
Ca3 0.000 0.000 0.201  0.01
Pu1 0.000 0.000 0.000  5.53
Ca4 0.000 0.000 0.799  0.01
Ag5 0.500 0.500 0.899  0.03



No. 2
Tc2IrRu: optimized geometry, PBE.

Summary:
**VASP energy**: -39.66 eV/f.u.
**Magnetization**: 0.0 μB per formula unit
**Theoretical density**: 14.22 g/cm3
**Symmetry**: Pmm2

Lattice parameters (Å, degrees): 4.366 2.743 4.771 90.00 90.00 90.00
Atoms (fractional coordinates):
Ru1 0.500 0.625 0.797
Ir1 0.000 0.625 0.454
Tc1 0.500 0.125 0.289
Tc2 0.000 0.125 0.959



No. 3
BaCd4Au: optimized geometry, PBE.

Summary:
**VASP energy**: -9.78 eV/f.u.
**Magnetization**: 0.0 μB per formula unit
**Theoretical density**: 8.22 g/cm3
**Symmetry**: F-43m

Lattice parameters (Å, degrees): 6.072 6.072 6.072 60.00 60.00 60.00
Atoms (fractional coordinates):
Cd1 0.871 0.376 0.376
Ba1 0.000 0.000 0.000
Cd2 0.376 0.376 0.376
Cd3 0.376 0.376 0.871
Cd4 0.376 0.871 0.376
Au1 0.750 0.750 0.750



No. 4
NiAg2Rh: optimized geometry, PBE.

Summary:
**VASP energy**: -17.77 eV/f.u.
**Magnetization**: 1.4 μB per formula unit
**Theoretical density**: 10.18 g/cm3
**Symmetry**: Cm

Lattice parameters (Å, degrees): 4.789 4.789 4.913 78.91 78.91 33.89
Each line ends with the local moment (μB).
Atoms (fractional coordinates):
Rh1 0.239 0.239 0.279  0.71
Ni1 0.506 0.506 0.471  0.70
Ag1 0.998 0.998 0.996  0.00
Ag2 0.757 0.757 0.753  0.01



The evaluated E_form for the records listed, in turn: -0.222 -0.199 -0.152 0.267 eV/atom.
The evaluated Fermi-level density of states for the records listed, in turn: 15.19 2.14 4.72 4.83 states/eV/cell.